[1]
! TbPmErS3 | the Alexandria database | PBE | optimized geometry; values from VASP
&SYSTEM
  ibrav = 0, nat = 12, ntyp = 4
/
ATOMIC_SPECIES
Tb 158.93 Tb.upf
Pm 145.00 Pm.upf
Er 167.26 Er.upf
S 32.06 S.upf
CELL_PARAMETERS angstrom
-0.388 1.795 -3.395
-1.042 -6.022 -3.065
-9.514 2.867 2.605
ATOMIC_POSITIONS crystal
Tb 0.250 0.126 0.631
Tb 0.750 0.874 0.369
Pm 0.750 0.657 0.696
Pm 0.250 0.343 0.304
Er 0.250 0.767 0.056
Er 0.750 0.233 0.944
S 0.250 0.720 0.503
S 0.750 0.052 0.154
S 0.750 0.546 0.159
S 0.750 0.280 0.497
S 0.250 0.454 0.841
S 0.250 0.948 0.846
! ΔE_f (raw) = -1.92 eV/atom
! symmetry = No. 11

[2]
! Mo2As3 | the Alexandria database | PBE | optimized geometry; values from VASP
&SYSTEM
  ibrav = 0, nat = 5, ntyp = 2
/
ATOMIC_SPECIES
Mo 95.94 Mo.upf
As 74.92 As.upf
CELL_PARAMETERS angstrom
-0.652 4.291 0.664
-2.135 -2.071 -3.231
-3.980 -1.123 3.349
ATOMIC_POSITIONS crystal
Mo 0.667 0.333 0.145
Mo 0.333 0.667 0.855
As 0.000 0.000 0.000
As 0.667 0.333 0.650
As 0.333 0.667 0.350
! distance to the lowest polymorph of the same formula = 357 meV per atom
! calculated formation energy = 0.074 eV/atom
! symmetry = No. 164

[3]
! LaPr7Ga4 | the Alexandria database | PBE | optimized geometry; values from VASP
&SYSTEM
  ibrav = 0, nat = 12, ntyp = 3
/
ATOMIC_SPECIES
La 138.91 La.upf
Pr 140.91 Pr.upf
Ga 69.72 Ga.upf
CELL_PARAMETERS angstrom
5.741 0.000 0.000
2.871 8.924 0.304
2.871 0.570 6.974
ATOMIC_POSITIONS crystal
La 0.000 0.000 0.000
Pr 0.795 0.880 0.529
Pr 0.205 0.120 0.471
Pr 0.066 0.612 0.257
Pr 0.934 0.388 0.743
Pr 0.297 0.641 0.764
Pr 0.500 0.000 0.000
Pr 0.703 0.359 0.236
Ga 0.551 0.245 0.654
Ga 0.449 0.755 0.346
Ga 0.680 0.670 0.971
Ga 0.320 0.330 0.029
! calculated formation energy = -0.208 eV/atom
! symmetry = No. 12

[4]
! PmHo4TmS8 | the Alexandria database | PBE | optimized geometry; values from VASP
&SYSTEM
  ibrav = 0, nat = 14, ntyp = 4
/
ATOMIC_SPECIES
Pm 145.00 Pm.upf
Ho 164.93 Ho.upf
Tm 168.93 Tm.upf
S 32.06 S.upf
CELL_PARAMETERS angstrom
-2.969 6.066 4.376
-7.323 2.918 -1.616
-6.068 -1.309 5.097
ATOMIC_POSITIONS crystal
Pm 0.375 0.375 0.874
Ho 0.625 0.625 0.126
Ho 0.999 0.502 0.500
Ho 0.502 0.999 0.500
Ho 0.999 0.999 0.500
Tm 0.000 0.000 0.001
S 0.237 0.783 0.742
S 0.783 0.237 0.742
S 0.237 0.237 0.742
S 0.240 0.240 0.281
S 0.759 0.227 0.255
S 0.227 0.759 0.255
S 0.759 0.759 0.255
S 0.757 0.757 0.730
! ΔE_f (raw) = -1.92 eV/atom
! symmetry = No. 160

[5]
! Ca3Tl5 | the Alexandria database | PBE | optimized geometry; values from VASP
&SYSTEM
  ibrav = 0, nat = 8, ntyp = 2
/
ATOMIC_SPECIES
Ca 40.08 Ca.upf
Tl 204.38 Tl.upf
CELL_PARAMETERS angstrom
5.346 0.000 0.000
0.000 6.699 -0.725
0.000 -0.965 6.669
ATOMIC_POSITIONS crystal
Ca 0.000 0.500 0.500
Ca 0.500 0.772 0.228
Ca 0.500 0.228 0.772
Tl 0.000 0.000 0.000
Tl 0.000 0.500 0.000
Tl 0.000 0.000 0.500
Tl 0.500 0.727 0.727
Tl 0.500 0.273 0.273
! distance to the lowest polymorph of the same formula = 9 meV per atom
! calculated formation energy = -0.329 eV/atom
! symmetry = No. 65

[6]
! Th3AsSe3 | the Alexandria database | PBE | optimized geometry; values from VASP
&SYSTEM
  ibrav = 0, nat = 14, ntyp = 3
/
ATOMIC_SPECIES
Th 232.04 Th.upf
As 74.92 As.upf
Se 78.96 Se.upf
CELL_PARAMETERS angstrom
-3.204 6.817 -0.231
0.866 -2.246 7.141
6.702 3.514 0.620
ATOMIC_POSITIONS crystal
Th 0.943 0.943 0.224
Th 0.802 0.494 0.685
Th 0.494 0.802 0.685
Th 0.198 0.506 0.315
Th 0.506 0.198 0.315
Th 0.057 0.057 0.776
As 0.734 0.734 0.934
As 0.266 0.266 0.066
Se 0.627 0.627 0.363
Se 0.163 0.837 0.500
Se 0.837 0.163 0.500
Se 0.220 0.780 0.000
Se 0.780 0.220 0.000
Se 0.373 0.373 0.637
! distance to the lowest polymorph of the same formula = 325 meV per atom
! ΔE_f (raw) = -1.22 eV/atom
! symmetry = No. 12

[7]
! BaReSe2 | the Alexandria database | PBE | optimized geometry; values from VASP
&SYSTEM
  ibrav = 0, nat = 4, ntyp = 3
/
ATOMIC_SPECIES
Ba 137.33 Ba.upf
Re 186.21 Re.upf
Se 78.96 Se.upf
CELL_PARAMETERS angstrom
4.910 0.000 0.000
0.000 4.560 0.000
0.000 0.000 4.912
ATOMIC_POSITIONS crystal
Ba 0.000 0.500 0.375
Re 0.500 0.000 0.874
Se 0.000 0.000 0.875
Se 0.500 0.000 0.375
! distance to the lowest polymorph of the same formula = 141 meV per atom
! ΔE_f (raw) = -0.36 eV/atom
! symmetry = No. 123

[8]
! Pr3DyEr3 | the Alexandria database | PBE | optimized geometry; values from VASP
&SYSTEM
  ibrav = 0, nat = 14, ntyp = 3
/
ATOMIC_SPECIES
Pr 140.91 Pr.upf
Dy 162.50 Dy.upf
Er 167.26 Er.upf
CELL_PARAMETERS angstrom
5.780 0.000 0.000
0.000 9.658 0.005
0.000 -4.834 8.363
ATOMIC_POSITIONS crystal
Pr 0.750 0.755 0.806
Pr 0.750 0.051 0.245
Pr 0.750 0.194 0.950
Pr 0.250 0.245 0.194
Pr 0.250 0.949 0.755
Pr 0.250 0.806 0.050
Dy 0.750 0.333 0.667
Dy 0.250 0.667 0.333
Er 0.250 0.519 0.615
Er 0.250 0.095 0.480
Er 0.250 0.385 0.904
Er 0.750 0.481 0.385
Er 0.750 0.905 0.520
Er 0.750 0.615 0.096
! distance to the lowest polymorph of the same formula = 0 meV per atom
! calculated formation energy = 0.025 eV/atom
! symmetry = No. 176

[9]
! TbGd3Fe | the Alexandria database | PBE | optimized geometry; values from VASP
&SYSTEM
  ibrav = 0, nat = 5, ntyp = 3
/
ATOMIC_SPECIES
Gd 157.25 Gd.upf
Tb 158.93 Tb.upf
Fe 55.84 Fe.upf
CELL_PARAMETERS angstrom
5.304 0.000 0.000
0.000 5.304 0.000
0.000 0.000 5.304
ATOMIC_POSITIONS crystal
Gd 0.000 0.500 0.000
Gd 0.000 0.000 0.500
Gd 0.500 0.000 0.000
Tb 0.500 0.500 0.500
Fe 0.000 0.000 0.000
! calculated formation energy = 0.112 eV/atom
! symmetry = No. 221

[10]
! BaNdZnPb | the Alexandria database | PBE | optimized geometry; values from VASP
&SYSTEM
  ibrav = 0, nat = 4, ntyp = 4
/
ATOMIC_SPECIES
Pb 207.20 Pb.upf
Zn 65.41 Zn.upf
Nd 144.24 Nd.upf
Ba 137.33 Ba.upf
CELL_PARAMETERS angstrom
-3.077 -4.780 0.200
2.159 -4.859 -2.021
1.456 -4.172 3.581
ATOMIC_POSITIONS crystal
Pb 0.000 0.000 0.000
Zn 0.500 0.500 0.500
Nd 0.750 0.750 0.750
Ba 0.250 0.250 0.250
! calculated formation energy = -0.287 eV/atom
! symmetry = No. 216

[11]
! AcSnSbPb | the Alexandria database | PBE | optimized geometry; values from VASP
&SYSTEM
  ibrav = 0, nat = 4, ntyp = 4
/
ATOMIC_SPECIES
Pb 207.20 Pb.upf
Sb 121.76 Sb.upf
Ac 227.00 Ac.upf
Sn 118.71 Sn.upf
CELL_PARAMETERS angstrom
-0.880 5.592 0.039
-5.227 2.048 -0.729
-2.728 2.406 4.338
ATOMIC_POSITIONS crystal
Pb 0.750 0.750 0.750
Sb 0.000 0.000 0.000
Ac 0.500 0.500 0.500
Sn 0.250 0.250 0.250
! ΔE_f (raw) = -0.20 eV/atom
! symmetry = No. 216

no.,ρ (g/cm3)
1,7.1
2,7.8
3,6.5
4,5.6
5,8.1
6,8.3
7,7.3
8,7.7
9,7.6
10,7.1
11,8.7